Material: AgB4Os
Method: DFT, PBE
State: relaxed

Lattice parameters (Å, degrees): 2.9761 2.9761 7.7404 90.00 90.00 120.00
With the nearest neighbours (Å) after each atom.
Sites, in units of the cell vectors:
1 Ag 0.0000 0.0000 0.5000  12 B 2.77, 6 Ag 2.98
2 B 0.6667 0.3333 0.2191  3 B 1.72
3 B 0.3333 0.6667 0.2191  3 B 1.72
4 B 0.6667 0.3333 0.7809  3 B 1.72
5 B 0.3333 0.6667 0.7809  3 B 1.72
6 Os 0.0000 0.0000 0.0000  12 B 2.41

Calculated values
Space group   P6/mmm
Energy above the most stable polymorph in this dataset   0.000 eV/atom

=====

Material: Ag2BOs
Method: DFT, PBE
State: relaxed

Lattice parameters (Å, degrees): 4.2992 4.2992 4.2992 60.00 60.00 60.00
With the nearest neighbours (Å) after each atom.
Sites, in units of the cell vectors:
1 Ag 0.0000 0.0000 0.0000  4 Ag 2.63, 4 Os 2.63
2 Ag 0.7500 0.7500 0.7500  4 Ag 2.63, 4 B 2.63
3 B 0.5000 0.5000 0.5000  4 Ag 2.63, 4 Os 2.63
4 Os 0.2500 0.2500 0.2500  4 B 2.63, 4 Ag 2.63

Calculated values
Space group   F-43m

=====

Material: AgBOs2
Method: DFT, PBE
State: relaxed

Lattice parameters (Å, degrees): 4.2624 4.2624 4.2624 60.00 60.00 60.00
With the nearest neighbours (Å) after each atom.
Sites, in units of the cell vectors:
1 Ag 0.2500 0.2500 0.2500  4 B 2.61, 4 Os 2.61
2 B 0.5000 0.5000 0.5000  4 Os 2.61, 4 Ag 2.61
3 Os 0.0000 0.0000 0.0000  4 Os 2.61, 4 Ag 2.61
4 Os 0.7500 0.7500 0.7500  4 B 2.61, 4 Os 2.61

Calculated values
Space group   F-43m

=====

Material: AgB2Pb
Method: DFT, PBE
State: relaxed

Lattice parameters (Å, degrees): 4.5622 4.5622 4.5622 60.00 60.00 60.00
With the nearest neighbours (Å) after each atom.
Sites, in units of the cell vectors:
1 Ag 0.7500 0.7500 0.7500  4 Pb 2.79, 4 B 2.79
2 B 0.2500 0.2500 0.2500  4 Pb 2.79, 4 B 2.79
3 B 0.5000 0.5000 0.5000  4 B 2.79, 4 Ag 2.79
4 Pb 0.0000 0.0000 0.0000  4 B 2.79, 4 Ag 2.79

Calculated values
Space group   F-43m

=====

Material: AgBPb2
Method: DFT, PBE
State: relaxed

Lattice parameters (Å, degrees): 5.0513 5.0513 5.0513 60.00 60.00 60.00
With the nearest neighbours (Å) after each atom.
Sites, in units of the cell vectors:
1 Ag 0.7500 0.7500 0.7500  4 Pb 3.09, 4 B 3.09
2 B 0.0000 0.0000 0.0000  4 Ag 3.09, 4 Pb 3.09
3 Pb 0.2500 0.2500 0.2500  4 Pb 3.09, 4 B 3.09
4 Pb 0.5000 0.5000 0.5000  4 Pb 3.09, 4 Ag 3.09

Calculated values
Space group   F-43m

=====

Material: AgB2Pd
Method: DFT, PBE
State: relaxed

Lattice parameters (Å, degrees): 4.1413 4.1413 4.1413 60.00 60.00 60.00
With the nearest neighbours (Å) after each atom.
Sites, in units of the cell vectors:
1 Ag 0.7500 0.7500 0.7500  4 B 2.54, 4 Pd 2.54
2 B 0.2500 0.2500 0.2500  4 B 2.54, 4 Pd 2.54
3 B 0.5000 0.5000 0.5000  4 B 2.54, 4 Ag 2.54
4 Pd 0.0000 0.0000 0.0000  4 B 2.54, 4 Ag 2.54

Calculated values
Space group   F-43m

=====

Material: PmAgB4
Method: DFT, PBE
State: relaxed

Lattice parameters (Å, degrees): 5.2027 5.2027 5.2027 144.71 116.61 74.68
With the nearest neighbours (Å) after each atom.
Sites, in units of the cell vectors:
1 Ag 0.0000 0.0000 0.0000  12 B 2.66-2.83
2 B 0.5623 0.2426 0.3197  2 B 1.76
3 B 0.0772 0.7574 0.3197  2 B 1.76
4 B 0.9228 0.2426 0.6803  2 B 1.76
5 B 0.4377 0.7574 0.6803  2 B 1.76
6 Pm 0.5000 0.5000 0.0000  12 B 2.74-2.76

Calculated values
Space group   Immm
Energy above the most stable polymorph in this dataset   0.000 eV/atom

=====

Material: PmAgB4
Method: DFT, PBE
State: relaxed

Lattice parameters (Å, degrees): 3.2429 3.2429 7.5045 90.00 90.00 120.00
With the nearest neighbours (Å) after each atom.
Sites, in units of the cell vectors:
1 Ag 0.0000 0.0000 0.5000  12 B 2.58
2 B 0.6667 0.3333 0.2626  3 B 1.87
3 B 0.3333 0.6667 0.2626  3 B 1.87
4 B 0.6667 0.3333 0.7374  3 B 1.87
5 B 0.3333 0.6667 0.7374  3 B 1.87
6 Pm 0.0000 0.0000 0.0000  12 B 2.72

Calculated values
Space group   P6/mmm
Energy above the most stable polymorph in this dataset   0.083 eV/atom

=====

Computed VASP energy (eV per cell) in order:
-37.92 -18.96 -27.05 -12.75 -12.72 -16.00 -34.09 -33.59